(1)
This record from the Alexandria database describes an optimized crystal structure of NbRuF2. The functional is PBE.

Computed properties:
Total moment   0.00 Bohr magnetons per cell

Unit cell a=3.6687 b=3.6687 c=8.1967 alpha=77.07 beta=77.07 gamma=90.00
Atoms (fractional coordinates):
Ru: 0.7500 0.2500 0.5000
Ru: 0.0000 0.0000 0.0000
F: 0.5980 0.1250 0.2500
F: 0.8750 0.8480 0.7500
F: 0.1520 0.6250 0.2500
Nb: 0.2500 0.7500 0.5000
F: 0.3750 0.4020 0.7500
Nb: 0.5000 0.5000 0.0000

(2)
This record from the Alexandria database describes an optimized crystal structure of NbRu3F. The functional is PBE.

Computed properties:
Total moment   0.00 Bohr magnetons per cell

Unit cell a=4.1842 b=4.1842 c=4.1842 alpha=90.00 beta=90.00 gamma=90.00
Atoms (fractional coordinates):
Ru: 0.0000 0.5000 0.0000
Nb: 0.5000 0.5000 0.5000
F: 0.0000 0.0000 0.0000
Ru: 0.5000 0.0000 0.0000
Ru: 0.0000 0.0000 0.5000

(3)
This record from the Alexandria database describes an optimized crystal structure of NbRu2F2. The functional is PBE.

Computed properties:
Total moment   0.00 Bohr magnetons per cell

Unit cell a=6.7423 b=6.7423 c=3.1125 alpha=90.00 beta=90.00 gamma=90.00
Atoms (fractional coordinates):
F: 0.2109 0.7109 0.5000
Ru: 0.6231 0.1231 0.0000
Nb: 0.5000 0.5000 0.0000
F: 0.7109 0.7891 0.5000
Ru: 0.8769 0.6231 0.0000
F: 0.2891 0.2109 0.5000
F: 0.7891 0.2891 0.5000
Ru: 0.1231 0.3769 0.0000
Nb: 0.0000 0.0000 0.0000
Ru: 0.3769 0.8769 0.0000

| no. | DFT total energy (eV/atom) |
| --- | --- |
| 1 | -6.6369 |
| 2 | -7.3101 |
| 3 | -6.2683 |